Record 1
Pr2SmPuN4: optimized geometry, PBE.

Lattice parameters (Å, degrees): 6.214 3.605 6.237 90.00 109.21 90.00
Element x y z (fractional)
Pr 0.000 0.000 0.000
Pr 0.500 0.500 0.000
Sm 0.000 0.500 0.500
Pu 0.500 0.000 0.500
N 0.257 0.000 0.733
N 0.268 0.500 0.273
N 0.732 0.500 0.727
N 0.743 0.000 0.267

Calculated values
For the formation energy from raw total energies, the calculation gives -1.325 eV/atom. The total magnetization is 4.56 μB per formula unit. The uncorrected energy comes out at -9.06 eV/atom. Its space group is P2/m (10).

---

Record 2
PrSmPuN3: optimized geometry, PBE.

Lattice parameters (Å, degrees): 7.374 3.697 8.381 90.00 97.09 90.00
Element x y z (fractional)
Pr 0.162 0.250 0.142
Pr 0.838 0.750 0.858
Sm 0.374 0.750 0.841
Sm 0.626 0.250 0.159
Pu 0.058 0.250 0.577
Pu 0.942 0.750 0.423
N 0.102 0.250 0.842
N 0.218 0.750 0.567
N 0.392 0.750 0.125
N 0.608 0.250 0.875
N 0.782 0.250 0.433
N 0.898 0.750 0.158

Calculated values
For the formation energy from raw total energies, the calculation gives -0.919 eV/atom. The total magnetization is 0.00 μB per formula unit. The uncorrected energy comes out at -9.05 eV/atom. Its space group is P2_1/m (11).

---

Record 3
Pr2PuSnN5: optimized geometry, PBE.

Lattice parameters (Å, degrees): 7.408 7.408 10.700 90.00 90.00 152.62
Element x y z (fractional)
Pr 0.111 0.889 0.500
Pr 0.133 0.867 0.096
Pr 0.867 0.133 0.596
Pr 0.889 0.111 0.000
Pu 0.216 0.784 0.813
Pu 0.784 0.216 0.313
Sn 0.482 0.518 0.274
Sn 0.518 0.482 0.774
N 0.058 0.942 0.865
N 0.281 0.719 0.444
N 0.304 0.696 0.183
N 0.369 0.631 0.809
N 0.496 0.504 0.582
N 0.504 0.496 0.082
N 0.631 0.369 0.309
N 0.696 0.304 0.683
N 0.719 0.281 0.944
N 0.942 0.058 0.365

Calculated values
For the formation energy from raw total energies, the calculation gives -0.803 eV/atom. The total magnetization is 3.00 μB per formula unit. The uncorrected energy comes out at -8.53 eV/atom. Its space group is Cmc2_1 (36).

---

Record 4
SrPr2PuN4: optimized geometry, PBE.

Lattice parameters (Å, degrees): 6.596 6.596 12.945 90.00 90.00 147.62
Element x y z (fractional)
Sr 0.132 0.868 0.750
Sr 0.868 0.132 0.250
Pr 0.370 0.630 0.524
Pr 0.370 0.630 0.976
Pr 0.630 0.370 0.024
Pr 0.630 0.370 0.476
Pu 0.134 0.866 0.250
Pu 0.866 0.134 0.750
N 0.000 0.000 0.000
N 0.000 0.000 0.500
N 0.247 0.753 0.122
N 0.247 0.753 0.378
N 0.460 0.540 0.750
N 0.540 0.460 0.250
N 0.753 0.247 0.622
N 0.753 0.247 0.878

Calculated values
For the formation energy from raw total energies, the calculation gives -0.924 eV/atom. The total magnetization is 4.00 μB per formula unit. The uncorrected energy comes out at -8.28 eV/atom. Its space group is Cmcm (63).

---

Record 5
PrPu2TaN4: optimized geometry, PBE.

Lattice parameters (Å, degrees): 6.276 6.276 12.290 90.00 90.00 148.38
Element x y z (fractional)
Pr 0.103 0.897 0.750
Pr 0.897 0.103 0.250
Pu 0.369 0.631 0.534
Pu 0.369 0.631 0.966
Pu 0.631 0.369 0.034
Pu 0.631 0.369 0.466
Ta 0.160 0.840 0.250
Ta 0.840 0.160 0.750
N 0.000 0.000 0.000
N 0.000 0.000 0.500
N 0.263 0.737 0.126
N 0.263 0.737 0.374
N 0.439 0.561 0.750
N 0.561 0.439 0.250
N 0.737 0.263 0.626
N 0.737 0.263 0.874

Calculated values
For the formation energy from raw total energies, the calculation gives -1.081 eV/atom. The total magnetization is 10.53 μB per formula unit. The uncorrected energy comes out at -10.91 eV/atom. Its space group is Cmcm (63).

---

Record 6
Pr2PuTaN4: optimized geometry, PBE.

Lattice parameters (Å, degrees): 6.903 6.903 6.903 121.04 118.63 90.30
Element x y z (fractional)
Pr 0.000 0.000 0.000
Pr 0.500 0.000 0.000
Pr 0.500 0.000 0.500
Pr 0.500 0.500 0.500
Pu 0.000 0.500 0.500
Pu 0.500 0.500 0.000
Ta 0.000 0.000 0.500
Ta 0.000 0.500 0.000
N 0.202 0.742 0.460
N 0.218 0.258 0.960
N 0.225 0.243 0.518
N 0.225 0.707 0.982
N 0.775 0.293 0.018
N 0.775 0.757 0.482
N 0.782 0.742 0.040
N 0.798 0.258 0.540

Calculated values
For the formation energy from raw total energies, the calculation gives -1.241 eV/atom. The total magnetization is 4.46 μB per formula unit. The uncorrected energy comes out at -9.87 eV/atom. Its space group is Imma (74).

---

Record 7
TbPrPuN3: optimized geometry, PBE.

Lattice parameters (Å, degrees): 7.173 3.599 9.529 90.00 106.74 90.00
Element x y z (fractional)
Tb 0.058 0.250 0.361
Tb 0.942 0.750 0.639
Pr 0.413 0.750 0.631
Pr 0.587 0.250 0.369
Pu 0.208 0.750 0.092
Pu 0.792 0.250 0.908
N 0.042 0.250 0.110
N 0.172 0.250 0.617
N 0.309 0.750 0.357
N 0.691 0.250 0.643
N 0.828 0.750 0.383
N 0.958 0.750 0.890

Calculated values
For the formation energy from raw total energies, the calculation gives -1.150 eV/atom. The total magnetization is 4.94 μB per formula unit. The uncorrected energy comes out at -9.27 eV/atom. Its space group is P2_1/m (11).

---

Record 8
Tb2PrPuN4: optimized geometry, PBE.

Lattice parameters (Å, degrees): 6.115 3.545 6.125 90.00 109.34 90.00
Element x y z (fractional)
Tb 0.000 0.000 0.000
Tb 0.000 0.500 0.500
Pr 0.500 0.000 0.500
Pu 0.500 0.500 0.000
N 0.246 0.500 0.235
N 0.253 0.000 0.762
N 0.747 0.000 0.238
N 0.754 0.500 0.765

Calculated values
For the formation energy from raw total energies, the calculation gives -1.437 eV/atom. The total magnetization is 4.72 μB per formula unit. The uncorrected energy comes out at -9.15 eV/atom. Its space group is P2/m (10).

---

Record 9
Pr2PuTcN5: optimized geometry, PBE.

Lattice parameters (Å, degrees): 7.160 7.160 10.567 90.00 90.00 151.73
Element x y z (fractional)
Pr 0.109 0.891 0.500
Pr 0.142 0.858 0.121
Pr 0.858 0.142 0.621
Pr 0.891 0.109 0.000
Pu 0.206 0.794 0.825
Pu 0.794 0.206 0.325
Tc 0.478 0.522 0.271
Tc 0.522 0.478 0.771
N 0.040 0.960 0.848
N 0.284 0.716 0.463
N 0.323 0.677 0.197
N 0.368 0.632 0.814
N 0.489 0.511 0.598
N 0.511 0.489 0.098
N 0.632 0.368 0.314
N 0.677 0.323 0.697
N 0.716 0.284 0.963
N 0.960 0.040 0.348

Calculated values
For the formation energy from raw total energies, the calculation gives -0.920 eV/atom. The total magnetization is 3.39 μB per formula unit. The uncorrected energy comes out at -9.35 eV/atom. Its space group is Cmc2_1 (36).

---

Record 10
Pr2PuTe2N2: optimized geometry, PBE.

Lattice parameters (Å, degrees): 8.948 8.948 8.948 151.57 151.57 40.65
Element x y z (fractional)
Pr 0.108 0.108 0.000
Pr 0.892 0.892 0.000
Pu 0.500 0.500 0.000
Te 0.317 0.317 0.000
Te 0.683 0.683 0.000
N 0.000 0.500 0.500
N 0.500 0.000 0.500

Calculated values
For the formation energy from raw total energies, the calculation gives -1.308 eV/atom. The total magnetization is 3.99 μB per formula unit. The uncorrected energy comes out at -8.00 eV/atom. Its space group is I4/mmm (139).

---

Record 11
Pr4Pu2Te3N2: optimized geometry, PBE.

Lattice parameters (Å, degrees): 13.489 13.489 13.489 159.47 159.47 29.19
Element x y z (fractional)
Pr 0.084 0.584 0.500
Pr 0.416 0.916 0.500
Pr 0.584 0.084 0.500
Pr 0.916 0.416 0.500
Pu 0.194 0.194 0.000
Pu 0.806 0.806 0.000
Te 0.320 0.320 0.000
Te 0.500 0.500 0.000
Te 0.680 0.680 0.000
N 0.112 0.112 0.000
N 0.888 0.888 0.000

Calculated values
For the formation energy from raw total energies, the calculation gives -1.054 eV/atom. The total magnetization is 12.42 μB per formula unit. The uncorrected energy comes out at -7.77 eV/atom. Its space group is I4/mmm (139).

---

Record 12
PrPuTe2N: optimized geometry, PBE.

Lattice parameters (Å, degrees): 4.098 4.098 16.634 90.00 90.00 90.00
Element x y z (fractional)
Pr 0.250 0.250 0.148
Pr 0.750 0.750 0.852
Pu 0.250 0.250 0.562
Pu 0.750 0.750 0.438
Te 0.250 0.250 0.330
Te 0.250 0.250 0.921
Te 0.750 0.750 0.079
Te 0.750 0.750 0.670
N 0.250 0.750 0.500
N 0.750 0.250 0.500

Calculated values
For the formation energy from raw total energies, the calculation gives -1.211 eV/atom. The total magnetization is 3.85 μB per formula unit. The uncorrected energy comes out at -7.96 eV/atom. Its space group is P4/nmm (129).

---

Record 13
Pr3PuTh2N6: optimized geometry, PBE.

Lattice parameters (Å, degrees): 6.317 6.317 6.332 99.59 99.59 119.98
Element x y z (fractional)
Pr 0.000 0.000 0.000
Pr 0.335 0.665 0.000
Pr 0.665 0.335 0.000
Pu 0.500 0.500 0.500
Th 0.167 0.833 0.500
Th 0.833 0.167 0.500
N 0.095 0.424 0.270
N 0.247 0.247 0.732
N 0.424 0.095 0.270
N 0.576 0.905 0.730
N 0.753 0.753 0.268
N 0.905 0.576 0.730

Calculated values
For the formation energy from raw total energies, the calculation gives -1.411 eV/atom. The total magnetization is 5.04 μB per formula unit. The uncorrected energy comes out at -9.20 eV/atom. Its space group is C2/m (12).

---

Record 14
Pr4PuTh3N8: optimized geometry, PBE.

Lattice parameters (Å, degrees): 7.317 7.317 7.317 59.95 59.95 59.95
Element x y z (fractional)
Pr 0.000 0.000 0.000
Pr 0.000 0.500 0.500
Pr 0.500 0.000 0.500
Pr 0.500 0.500 0.000
Pu 0.500 0.500 0.500
Th 0.000 0.000 0.500
Th 0.000 0.500 0.000
Th 0.500 0.000 0.000
N 0.244 0.244 0.244
N 0.247 0.742 0.742
N 0.258 0.258 0.753
N 0.258 0.753 0.258
N 0.742 0.247 0.742
N 0.742 0.742 0.247
N 0.753 0.258 0.258
N 0.756 0.756 0.756

Calculated values
For the formation energy from raw total energies, the calculation gives -1.437 eV/atom. The total magnetization is 4.86 μB per formula unit. The uncorrected energy comes out at -9.08 eV/atom. Its space group is R-3m (166).

---

Record 15
Pr2PuThN4: optimized geometry, PBE.

Lattice parameters (Å, degrees): 6.281 3.630 6.302 90.00 109.61 90.00
Element x y z (fractional)
Pr 0.000 0.000 0.000
Pr 0.500 0.500 0.000
Pu 0.000 0.500 0.500
Th 0.500 0.000 0.500
N 0.233 0.000 0.724
N 0.254 0.500 0.268
N 0.746 0.500 0.732
N 0.767 0.000 0.276

Calculated values
For the formation energy from raw total energies, the calculation gives -1.378 eV/atom. The total magnetization is 4.78 μB per formula unit. The uncorrected energy comes out at -9.45 eV/atom. Its space group is P2/m (10).

---

Record 16
PrPuTh2N4: optimized geometry, PBE.

Lattice parameters (Å, degrees): 6.278 3.651 6.317 90.00 109.77 90.00
Element x y z (fractional)
Pr 0.000 0.000 0.000
Pu 0.000 0.500 0.500
Th 0.500 0.000 0.500
Th 0.500 0.500 0.000
N 0.253 0.000 0.743
N 0.264 0.500 0.259
N 0.736 0.500 0.741
N 0.747 0.000 0.257

Calculated values
For the formation energy from raw total energies, the calculation gives -1.425 eV/atom. The total magnetization is 5.45 μB per formula unit. The uncorrected energy comes out at -9.83 eV/atom. Its space group is P2/m (10).

---

Record 17
PrPuThN3: optimized geometry, PBE.

Lattice parameters (Å, degrees): 7.272 3.524 8.876 90.00 95.76 90.00
Element x y z (fractional)
Pr 0.108 0.250 0.342
Pr 0.892 0.750 0.658
Pu 0.189 0.250 0.951
Pu 0.811 0.750 0.049
Th 0.398 0.750 0.651
Th 0.602 0.250 0.349
N 0.113 0.750 0.094
N 0.159 0.250 0.641
N 0.376 0.750 0.398
N 0.624 0.250 0.602
N 0.841 0.750 0.359
N 0.887 0.250 0.906

Calculated values
For the formation energy from raw total energies, the calculation gives -1.183 eV/atom. The total magnetization is 5.68 μB per formula unit. The uncorrected energy comes out at -9.77 eV/atom. Its space group is P2_1/m (11).

---

Record 18
PrPu2ThN4: optimized geometry, PBE.

Lattice parameters (Å, degrees): 6.177 3.583 6.203 90.00 109.58 90.00
Element x y z (fractional)
Pr 0.000 0.000 0.000
Pu 0.500 0.000 0.500
Pu 0.500 0.500 0.000
Th 0.000 0.500 0.500
N 0.265 0.000 0.748
N 0.274 0.500 0.266
N 0.726 0.500 0.734
N 0.735 0.000 0.252

Calculated values
For the formation energy from raw total energies, the calculation gives -1.348 eV/atom. The total magnetization is 9.64 μB per formula unit. The uncorrected energy comes out at -10.62 eV/atom. Its space group is P2/m (10).

---

Record 19
Pr2PuTiN5: optimized geometry, PBE.

Lattice parameters (Å, degrees): 7.247 7.247 10.525 90.00 90.00 152.05
Element x y z (fractional)
Pr 0.107 0.893 0.500
Pr 0.133 0.867 0.102
Pr 0.867 0.133 0.602
Pr 0.893 0.107 0.000
Pu 0.212 0.788 0.816
Pu 0.788 0.212 0.316
Ti 0.486 0.514 0.274
Ti 0.514 0.486 0.774
N 0.052 0.948 0.844
N 0.281 0.719 0.449
N 0.307 0.693 0.191
N 0.376 0.624 0.813
N 0.495 0.505 0.595
N 0.505 0.495 0.095
N 0.624 0.376 0.313
N 0.693 0.307 0.691
N 0.719 0.281 0.949
N 0.948 0.052 0.344

Calculated values
For the formation energy from raw total energies, the calculation gives -1.270 eV/atom. The total magnetization is 3.00 μB per formula unit. The uncorrected energy comes out at -9.43 eV/atom. Its space group is Cmc2_1 (36).

---

Record 20
Pr2PuTlN: optimized geometry, PBE.

Lattice parameters (Å, degrees): 5.166 5.166 4.691 90.00 90.00 90.00
Element x y z (fractional)
Pr 0.000 0.500 0.000
Pr 0.500 0.000 0.000
Pu 0.000 0.000 0.500
Tl 0.500 0.500 0.500
N 0.000 0.000 0.000

Calculated values
For the formation energy from raw total energies, the calculation gives -0.678 eV/atom. The total magnetization is 5.63 μB per formula unit. The uncorrected energy comes out at -7.59 eV/atom. Its space group is P4/mmm (123).